PBE Li2CuRh, relaxed; D(E_F) = 3.1 states/eV/cell; energy above the most stable polymorph in this dataset = 131.9 meV per atom; energy relative to the elements = 0.003 eV per atom; total magnetic moment = 0.067 μB per atom
1.0
9.2466 0.0057 0.0033
8.8533 2.6683 0.0033
8.8533 1.3080 2.3258
Cu Li Rh
1 2 1
direct
0.7524 0.7524 0.7524 Cu
0.0067 0.0067 0.0067 Li
0.2427 0.2427 0.2427 Li
0.4982 0.4982 0.4982 Rh